No. 1
Entry from the Alexandria database: an optimized crystal structure of Tm4Mg3Os (PBE).

Values from the calculation:
N(E_F) in states/eV per cell: 5.8
E in Ry per atom: -0.3228
Size of the total moment in μB per formula unit: 0.00
Calculated volume in Å³ per atom: 24.8
Energy of formation from the pure elements in meV/atom: -154
Calculated density in g/cm³: 7.86

Cell: 3.435 3.435 16.802 Å, 90.00 90.00 90.00°
Fractional coordinates of all 8 atoms:
1 Mg 0.500 0.500 0.237
2 Mg 0.500 0.500 0.500
3 Mg 0.500 0.500 0.763
4 Tm 0.000 0.000 0.904
5 Tm 0.000 0.000 0.096
6 Tm 0.000 0.000 0.367
7 Tm 0.000 0.000 0.633
8 Os 0.500 0.500 0.000

---

No. 2
Entry from the Alexandria database: an optimized crystal structure of Li3Pd2PtO6 (PBE).

Values from the calculation:
N(E_F) in states/eV per cell: 3.9
E in Ry per atom: -0.3869
Size of the total moment in μB per formula unit: 0.99
Calculated volume in Å³ per atom: 10.5
Formation energy (no corrections) in meV per atom: -937
Calculated density in g/cm³: 6.88

Cell: 5.367 5.367 5.438 Å, 103.57 103.57 115.76°
Site moments in Bohr magnetons follow the coordinates.
Fractional coordinates of all 12 atoms:
1 Li 0.179 0.821 0.500  0.00
2 Li 0.821 0.179 0.500  0.00
3 Li 0.500 0.500 0.500  0.00
4 Pd 0.331 0.669 0.000  -0.27
5 Pd 0.669 0.331 0.000  -0.27
6 Pt 0.000 0.000 0.000  -0.02
7 O 0.950 0.624 0.738  -0.09
8 O 0.762 0.762 0.205  -0.01
9 O 0.050 0.376 0.262  -0.09
10 O 0.624 0.950 0.738  -0.09
11 O 0.238 0.238 0.795  -0.01
12 O 0.376 0.050 0.262  -0.09

---

Among the records above, which one has the highest calculated volume? Tm4Mg3Os

---

Copy entry 1 word for word.
Entry from the Alexandria database: an optimized crystal structure of Tm4Mg3Os (PBE).

Values from the calculation:
N(E_F) in states/eV per cell: 5.8
E in Ry per atom: -0.3228
Size of the total moment in μB per formula unit: 0.00
Calculated volume in Å³ per atom: 24.8
Energy of formation from the pure elements in meV/atom: -154
Calculated density in g/cm³: 7.86

Cell: 3.435 3.435 16.802 Å, 90.00 90.00 90.00°
Fractional coordinates of all 8 atoms:
1 Mg 0.500 0.500 0.237
2 Mg 0.500 0.500 0.500
3 Mg 0.500 0.500 0.763
4 Tm 0.000 0.000 0.904
5 Tm 0.000 0.000 0.096
6 Tm 0.000 0.000 0.367
7 Tm 0.000 0.000 0.633
8 Os 0.500 0.500 0.000

---

Please write out number 1 again, unchanged.
Entry from the Alexandria database: an optimized crystal structure of Tm4Mg3Os (PBE).

Values from the calculation:
N(E_F) in states/eV per cell: 5.8
E in Ry per atom: -0.3228
Size of the total moment in μB per formula unit: 0.00
Calculated volume in Å³ per atom: 24.8
Energy of formation from the pure elements in meV/atom: -154
Calculated density in g/cm³: 7.86

Cell: 3.435 3.435 16.802 Å, 90.00 90.00 90.00°
Fractional coordinates of all 8 atoms:
1 Mg 0.500 0.500 0.237
2 Mg 0.500 0.500 0.500
3 Mg 0.500 0.500 0.763
4 Tm 0.000 0.000 0.904
5 Tm 0.000 0.000 0.096
6 Tm 0.000 0.000 0.367
7 Tm 0.000 0.000 0.633
8 Os 0.500 0.500 0.000

---

Which of these has the highest N(E_F)? Tm4Mg3Os